Entry from Alexandria via LeMat-Bulk: a relaxed structure of YNbRu2 (GGA-PBEsol).

## Properties
Energy relative to the elements in eV per atom: -0.2361
V in A^3/atom: 16.91
SG: Fm-3m, No. 225
DOS(E_F) in states/eV/cell: 0.73
Spin magnetization in μB/f.u.: 0.00
Electronic total energy in eV/cell: -38.9
Crystal system: cubic

Structure (POSCAR):
```
YNbRu2
1.0
4.5730 0.0000 0.0000
2.2865 3.9604 0.0000
2.2865 1.3201 3.7339
Nb Ru Y
1 2 1
Direct
0.5000 0.5000 0.5000
0.2500 0.2500 0.2500
0.7500 0.7500 0.7500
0.0000 0.0000 0.0000
```

***

Entry from Alexandria via LeMat-Bulk: a relaxed structure of FeOs2Se (GGA-PBEsol).

## Properties
V in A^3/atom: 14.02
SG: F-43m, No. 216
DOS(E_F) in states/eV/cell: 2.81
Formation energy from raw total energies in eV/atom: 0.714
Spin magnetization in μB/f.u.: 2.53
Electronic total energy in eV/cell: -34.4
Crystal system: cubic

Structure (POSCAR):
```
FeOs2Se
1.0
-0.0216 -3.7402 2.1138
-0.3836 -3.6899 -2.1669
3.3551 -2.6649 -0.3150
Os Se Fe
2 1 1
Direct
0.7500 0.7500 0.7500
0.0000 0.0000 0.0000
0.2500 0.2500 0.2500
0.5000 0.5000 0.5000
```

***

Entry from Alexandria via LeMat-Bulk: a relaxed structure of SrCaMnO4 (GGA-PBEsol).

## Properties
V in A^3/atom: 12.03
SG: I4mm, No. 107
DOS(E_F) in states/eV/cell: 1.82
Formation energy from raw total energies in eV/atom: -2.493
Spin magnetization in μB/f.u.: 3.00
Electronic total energy in eV/cell: -52.2
Crystal system: tetragonal

Structure (POSCAR):
```
SrCaMnO4
1.0
3.7370 0.0000 0.0000
0.0000 3.7370 0.0000
-1.8685 -1.8685 6.0290
O Ca Mn Sr
4 1 1 1
Direct
0.1614 0.1614 0.3227
0.9956 0.4956 0.9912
0.8432 0.8432 0.6864
0.4956 0.9956 0.9912
0.3586 0.3586 0.7172
0.9996 0.9996 0.9992
0.6462 0.6462 0.2923
```

***

Entry from Alexandria via LeMat-Bulk: a relaxed structure of SbAsCl2 (GGA-PBEsol).

## Properties
V in A^3/atom: 19.85
SG: F-43m, No. 216
DOS(E_F) in states/eV/cell: 1.84
Formation energy from raw total energies in eV/atom: -0.094
Spin magnetization in μB/f.u.: 0.00
Electronic total energy in eV/cell: -14.1
Crystal system: cubic

Structure (POSCAR):
```
SbAsCl2
1.0
4.8241 0.0000 0.0000
2.4121 4.1778 0.0000
2.4121 1.3926 3.9389
As Sb Cl
1 1 2
Direct
0.5000 0.5000 0.5000
0.2500 0.2500 0.2500
0.7500 0.7500 0.7500
0.0000 0.0000 0.0000
```